# 1
Density functional theory data (SCAN) for a PBEsol-optimized structure of TlMo2Cl.

The value obtained for the formation energy from raw total energies is 0.1011 eV per atom. For the energy relative to the lowest polymorph listed for this composition, the calculation gives 0.000 eV per atom. The value obtained for the volume is 244.9 Å³ per cell. The crystal system is trigonal.

The structure belongs to space group R3m (No. 160, hexagonal axes); the cell edges are 3.1723, 3.1723 and 28.0988 Å and the angles 90.00°, 90.00° and 120.00°. The asymmetric unit holds Tl at (0.0000, 0.0000, 0.0000), Mo at (0.0000, 0.0000, 0.4865), Mo at (0.0000, 0.0000, 0.7611) and Cl at (0.0000, 0.0000, 0.2198).

# 2
Density functional theory data (SCAN) for a PBEsol-optimized structure of ZrTlMo2Cl.

The value obtained for the formation energy from raw total energies is 1.0227 eV per atom. The value obtained for the volume is 100.4 Å³ per cell. The crystal system is tetragonal.

The structure belongs to space group P4/mmm (No. 123); the cell edges are 4.3562, 4.3562 and 5.2889 Å and the angles 90.00°, 90.00° and 90.00°. The asymmetric unit holds Zr at (0.0000, 0.0000, 0.0000), Tl at (0.5000, 0.5000, 0.0000), Mo at (0.0000, 0.5000, 0.5000) and Cl at (0.5000, 0.5000, 0.5000).

# 3
Density functional theory data (SCAN) for a PBEsol-optimized structure of MoW2Cl.

The value obtained for the formation energy from raw total energies is 0.6548 eV per atom. For the energy relative to the lowest polymorph listed for this composition, the calculation gives 0.000 eV per atom. The value obtained for the volume is 76.3 Å³ per cell. The crystal system is orthorhombic.

The structure belongs to space group Pmm2 (No. 25); the cell edges are 3.0026, 3.8929 and 6.5262 Å and the angles 90.00°, 90.00° and 90.00°. The asymmetric unit holds Mo at (0.0000, 0.0000, 0.0000), W at (0.0000, 0.0000, 0.3558), W at (0.5000, 0.5000, 0.1787) and Cl at (0.5000, 0.5000, 0.7937).